Record 1
# Pr8Ru3Br4Cl

Crystalline Pr8Ru3Br4Cl at its relaxed geometry (PBE, Alexandria).

Properties
E (eV per atom): -5.57
Crystal system: trigonal

Cell lengths 8.408, 9.190, 8.406 Å; angles 117.23, 120.01, 90.00 degrees
Atoms (fractional coordinates):
1 Pr 0.245 0.698 0.954
2 Pr 0.245 0.698 0.490
3 Pr 0.267 0.301 0.534
4 Pr 0.709 0.698 0.954
5 Pr 0.291 0.302 0.046
6 Pr 0.733 0.699 0.466
7 Pr 0.755 0.302 0.510
8 Pr 0.755 0.302 0.046
9 Ru 0.500 0.500 0.000
10 Ru 0.500 0.500 0.500
11 Ru 0.000 0.500 0.500
12 Br 0.500 0.000 0.000
13 Br 0.500 0.000 0.500
14 Br 0.000 0.000 0.000
15 Br 0.000 0.000 0.500
16 Cl 0.000 0.500 0.000

---

Record 2
# Mg2CdTe

Crystalline Mg2CdTe at its relaxed geometry (PBE, Alexandria).

Properties
Polymorph energy (0 for the lowest one) (meV/atom): 41.8
E (eV per atom): -2.05
Crystal system: monoclinic

Cell lengths 4.089, 4.168, 6.538 Å; angles 67.79, 90.00, 90.00 degrees
Atoms (fractional coordinates):
1 Cd 0.500 0.617 0.838
2 Mg 0.000 0.060 0.925
3 Mg 0.500 0.190 0.322
4 Te 0.000 0.634 0.415

---

Record 3
# Cu2OF2

Crystalline Cu2OF2 at its relaxed geometry (PBE, Alexandria).

Properties
Polymorph energy (0 for the lowest one) (meV/atom): 1.1
E (eV per atom): -4.49
Crystal system: triclinic

Cell lengths 5.730, 6.001, 5.730 Å; angles 72.28, 68.33, 107.52 degrees
Site moments in Bohr magnetons follow the coordinates.
Atoms (fractional coordinates):
1 Cu 0.501 0.002 0.998  0.59
2 Cu 0.501 0.002 0.498  0.58
3 Cu 0.501 0.502 0.498  0.58
4 Cu 0.001 0.502 0.498  0.58
5 O 0.627 0.252 0.622  0.28
6 O 0.376 0.752 0.374  0.28
7 F 0.637 0.267 0.113  0.13
8 F 0.883 0.767 0.366  0.13
9 F 0.120 0.236 0.627  0.13
10 F 0.367 0.736 0.882  0.13

---

Record 4
# CsTlBiAu

Crystalline CsTlBiAu at its relaxed geometry (PBE, Alexandria).

Properties
ΔH_f (0 K) (eV per atom): -0.174
E (eV per atom): -2.77
Crystal system: orthorhombic

Cell lengths 5.527, 5.195, 6.780 Å; angles 112.53, 114.05, 90.00 degrees
Atoms (fractional coordinates):
1 Cs 0.959 0.959 0.918
2 Tl 0.620 0.620 0.240
3 Bi 0.313 0.313 0.626
4 Au 0.223 0.723 0.446

---

Record 5
# SmGa11Pd

Crystalline SmGa11Pd at its relaxed geometry (PBE, Alexandria).

Properties
ΔH_f (0 K) (eV per atom): -0.167
E (eV per atom): -3.49
Crystal system: monoclinic

Cell lengths 5.162, 6.586, 8.335 Å; angles 83.38, 71.96, 68.13 degrees
Atoms (fractional coordinates):
1 Sm 0.000 0.000 0.000
2 Ga 0.298 0.213 0.201
3 Ga 0.702 0.787 0.799
4 Ga 0.501 0.787 0.201
5 Ga 0.499 0.213 0.799
6 Ga 0.358 0.629 0.659
7 Ga 0.642 0.371 0.341
8 Ga 0.983 0.371 0.659
9 Ga 0.017 0.629 0.341
10 Ga 0.000 0.500 0.000
11 Ga 0.500 0.000 0.500
12 Ga 0.000 0.000 0.500
13 Pd 0.500 0.500 0.000

---

Record 6
# Tm7Te2Pd2

Crystalline Tm7Te2Pd2 at its relaxed geometry (PBE, Alexandria).

Properties
E (eV per atom): -5.21
Crystal system: orthorhombic

Cell lengths 3.910, 9.319, 9.319 Å; angles 61.76, 77.89, 77.89 degrees
Atoms (fractional coordinates):
1 Tm 0.817 0.081 0.285
2 Tm 0.856 0.400 0.887
3 Tm 0.500 0.024 0.976
4 Tm 0.630 0.477 0.263
5 Tm 0.370 0.737 0.523
6 Tm 0.183 0.715 0.919
7 Tm 0.144 0.113 0.600
8 Te 0.000 0.758 0.242
9 Te 0.500 0.362 0.638
10 Pd 0.737 0.857 0.670
11 Pd 0.263 0.330 0.143

---

Record 7
# YSbNF2

Crystalline YSbNF2 at its relaxed geometry (PBE, Alexandria).

Properties
Polymorph energy (0 for the lowest one) (meV/atom): 0.0
E (eV per atom): -6.10
Crystal system: tetragonal

Cell lengths 4.258, 4.258, 4.942 Å; angles 90.00, 90.00, 90.00 degrees
Site moments in Bohr magnetons follow the coordinates.
Atoms (fractional coordinates):
1 Y 0.000 0.000 0.000  0.01
2 Sb 0.500 0.500 0.500  0.39
3 N 0.000 0.000 0.500  -0.07
4 F 0.000 0.500 0.000  0.04
5 F 0.500 0.000 0.000  0.04

---

Record 8
# BaBe2ZnPt

Crystalline BaBe2ZnPt at its relaxed geometry (PBE, Alexandria).

Properties
ΔH_f (0 K) (eV per atom): -0.243
E (eV per atom): -3.58
Crystal system: tetragonal

Cell lengths 4.525, 4.525, 4.887 Å; angles 90.00, 90.00, 90.00 degrees
Atoms (fractional coordinates):
1 Be 0.000 0.500 0.000
2 Be 0.500 0.000 0.000
3 Zn 0.000 0.000 0.500
4 Ba 0.500 0.500 0.500
5 Pt 0.000 0.000 0.000

---

Record 9
# TcW2Cl

Crystalline TcW2Cl at its relaxed geometry (PBE, Alexandria).

Properties
Polymorph energy (0 for the lowest one) (meV/atom): 0.0
E (eV per atom): -9.17
Crystal system: trigonal

Cell lengths 8.892, 8.892, 8.892 Å; angles 18.92, 18.92, 18.92 degrees
Atoms (fractional coordinates):
1 Cl 0.506 0.506 0.506
2 Tc 0.745 0.745 0.745
3 W 0.002 0.002 0.002
4 W 0.247 0.247 0.247

---

Record 10
# Nd2CuPb

Crystalline Nd2CuPb at its relaxed geometry (PBE, Alexandria).

Properties
ΔH_f (0 K) (eV per atom): -0.314
E (eV per atom): -4.65
Crystal system: tetragonal

Cell lengths 3.597, 3.597, 8.281 Å; angles 90.00, 90.00, 90.00 degrees
Atoms (fractional coordinates):
1 Pb 0.500 0.500 0.500
2 Nd 0.000 0.000 0.781
3 Nd 0.000 0.000 0.219
4 Cu 0.500 0.500 0.000

---

Record 11
# VGe2AuS

Crystalline VGe2AuS at its relaxed geometry (PBE, Alexandria).

Properties
E (eV per atom): -4.05
Crystal system: tetragonal

Cell lengths 4.851, 5.129, 4.851 Å; angles 90.00, 90.00, 90.00 degrees
Site moments in Bohr magnetons follow the coordinates.
Atoms (fractional coordinates):
1 Ge 0.000 0.000 0.500  0.00
2 Ge 0.500 0.000 0.000  0.00
3 Au 0.000 0.000 0.000  0.00
4 S 0.500 0.500 0.500  0.06
5 V 0.000 0.500 0.000  -0.39

---

Record 12
# MgBe2Ag2

Crystalline MgBe2Ag2 at its relaxed geometry (PBE, Alexandria).

Properties
Polymorph energy (0 for the lowest one) (meV/atom): 95.2
ΔH_f (0 K) (eV per atom): 0.145
E (eV per atom): -2.81
Crystal system: tetragonal

Cell lengths 7.025, 7.025, 2.945 Å; angles 90.00, 90.00, 90.00 degrees
Atoms (fractional coordinates):
1 Be 0.147 0.647 0.500
2 Be 0.647 0.853 0.500
3 Be 0.853 0.353 0.500
4 Be 0.353 0.147 0.500
5 Mg 0.000 0.000 0.000
6 Mg 0.500 0.500 0.000
7 Ag 0.354 0.854 0.000
8 Ag 0.854 0.646 0.000
9 Ag 0.646 0.146 0.000
10 Ag 0.146 0.354 0.000

---

no.,total magnetization (μB per formula unit)
1,0.0
2,0.0
3,1.8
4,0.0
5,0.0
6,0.0
7,0.9
8,0.0
9,0.0
10,0.0
11,0.4
12,0.0